# 1
First-principles (PBE) data for crystalline Tl2NiOs at its relaxed geometry, as listed in the Alexandria database.

Computed properties:
ΔE_f = 866 meV/atom

Unit cell a=8.7145 b=3.1370 c=5.5251 alpha=90.00 beta=102.63 gamma=90.00
With the nearest neighbours (Å) after each atom.
Space group C2/m (No. 12)
Unique sites:
Tl 0.2453 0.0000 0.2432 (multiplicity 4)  3 Ni 2.75-2.83, 3 Os 2.81-2.83
Ni 0.0000 0.5000 0.0000 (multiplicity 2)  6 Tl 2.75-2.83
Os 0.0000 0.0000 0.5000 (multiplicity 2)  6 Tl 2.81-2.83, 2 Os 3.14

# 2
First-principles (PBE) data for crystalline Tl2NiOs at its relaxed geometry, as listed in the Alexandria database.

Computed properties:
ΔE_f = 849 meV/atom

Unit cell a=3.1652 b=5.2633 c=8.8587 alpha=90.00 beta=90.00 gamma=90.00
With the nearest neighbours (Å) after each atom.
Space group Cmmm (No. 65)
Unique sites:
Tl 0.0000 0.0000 0.2374 (multiplicity 4)  2 Ni 2.63, 2 Os 2.81
Ni 0.0000 0.5000 0.0000 (multiplicity 2)  4 Tl 2.63
Os 0.0000 0.5000 0.5000 (multiplicity 2)  4 Tl 2.81, 4 Os 3.07

# 3
First-principles (PBE) data for crystalline Tl2NiOs at its relaxed geometry, as listed in the Alexandria database.

Computed properties:
ΔE_f = 599 meV/atom

Unit cell a=3.0460 b=3.0460 c=8.8552 alpha=90.00 beta=90.00 gamma=90.00
With the nearest neighbours (Å) after each atom.
Space group P4mm (No. 99)
Unique sites:
Tl 0.0000 0.0000 0.0000 (multiplicity 1)  4 Tl 3.05, 4 Os 3.11
Tl 0.5000 0.5000 0.3654 (multiplicity 1)  4 Tl 3.05, 4 Ni 3.05, 1 Os 3.38
Ni 0.0000 0.0000 0.6097 (multiplicity 1)  4 Os 2.47
Os 0.5000 0.5000 0.7466 (multiplicity 1)  4 Ni 2.47

# 4
First-principles (PBE) data for crystalline Tl2NiOs at its relaxed geometry, as listed in the Alexandria database.

Computed properties:
ΔE_f = 896 meV/atom

Unit cell a=3.9508 b=3.9508 c=9.3342 alpha=90.00 beta=90.00 gamma=90.00
With the nearest neighbours (Å) after each atom.
Space group I-4m2 (No. 119)
Unique sites:
Tl 0.0000 0.0000 0.0000 (multiplicity 2)  4 Os 2.79, 4 Tl 3.06, 4 Ni 3.06
Tl 0.0000 0.5000 0.2500 (multiplicity 2)  4 Ni 2.79, 4 Tl 3.06, 4 Os 3.06
Ni 0.0000 0.5000 0.7500 (multiplicity 2)  8 Tl 2.79-3.06, 4 Os 3.06
Os 0.0000 0.0000 0.5000 (multiplicity 2)  8 Tl 2.79-3.06, 4 Ni 3.06

# 5
First-principles (PBE) data for crystalline TlNi2Os at its relaxed geometry, as listed in the Alexandria database.

Computed properties:
ΔE_f = 503 meV/atom

Unit cell a=8.6785 b=2.8319 c=4.9059 alpha=90.00 beta=100.56 gamma=90.00
With the nearest neighbours (Å) after each atom.
Space group Cm (No. 8)
Unique sites:
Tl 0.0000 0.0000 0.0000 (multiplicity 2)  7 Ni 2.67-2.87, 2 Tl 2.83, 3 Os 2.85-2.89
Ni 0.0010 0.5000 0.5095 (multiplicity 2)  3 Os 2.54-2.57, 5 Ni 2.63-2.83, 2 Tl 2.79
Ni 0.2458 0.0000 0.7423 (multiplicity 2)  2 Os 2.50, 3 Ni 2.63-2.67, 3 Tl 2.67-2.73
Os 0.2609 0.5000 0.3273 (multiplicity 2)  5 Ni 2.50-2.57

# 6
First-principles (PBE) data for crystalline TlNi2Os at its relaxed geometry, as listed in the Alexandria database.

Computed properties:
ΔE_f = 533 meV/atom

Unit cell a=2.8438 b=2.8438 c=25.6324 alpha=90.00 beta=90.00 gamma=120.00
With the nearest neighbours (Å) after each atom.
Space group R-3m (No. 166, hexagonal axes)
Unique sites:
Tl 0.0000 0.0000 0.0000 (multiplicity 3)  6 Ni 2.82, 6 Tl 2.84
Ni 0.0000 0.0000 0.2439 (multiplicity 6)  3 Os 2.57, 3 Tl 2.82, 6 Ni 2.84
Os 0.0000 0.0000 0.5000 (multiplicity 3)  6 Ni 2.57, 6 Os 2.84

# 7
First-principles (PBE) data for crystalline TlNi2Os at its relaxed geometry, as listed in the Alexandria database.

Computed properties:
ΔE_f = 527 meV/atom

Unit cell a=5.6455 b=7.3763 c=2.7730 alpha=90.00 beta=90.00 gamma=90.00
With the nearest neighbours (Å) after each atom.
Space group Cmmm (No. 65)
Unique sites:
Tl 0.0000 0.0000 0.0000 (multiplicity 2)  8 Ni 2.70, 2 Tl 2.77, 2 Os 2.82
Ni 0.2500 0.2500 0.5000 (multiplicity 4)  4 Tl 2.70, 4 Os 2.70, 4 Ni 2.77-2.82
Os 0.0000 0.5000 0.0000 (multiplicity 2)  8 Ni 2.70, 2 Os 2.77, 2 Tl 2.82

# 8
First-principles (PBE) data for crystalline TlNi2Os at its relaxed geometry, as listed in the Alexandria database.

Computed properties:
ΔE_f = 544 meV/atom

Unit cell a=4.5640 b=4.5640 c=2.7720 alpha=90.00 beta=90.00 gamma=90.00
With the nearest neighbours (Å) after each atom.
Space group P4/mmm (No. 123)
Unique sites:
Tl 0.0000 0.0000 0.0000 (multiplicity 1)  8 Ni 2.67, 2 Tl 2.77
Ni 0.0000 0.5000 0.5000 (multiplicity 2)  4 Tl 2.67, 4 Os 2.67, 2 Ni 2.77
Os 0.5000 0.5000 0.0000 (multiplicity 1)  8 Ni 2.67, 2 Os 2.77

DOS at the Fermi energy, record by record: 3.5 3.6 5.6 4.7 4.1 4.1 5.9 4.3 states/eV/f.u.